[1]
## TbDy5Sc (PBE-GGA)

Data for an optimized crystal structure of TbDy5Sc.

Cell lengths 7.5056, 5.9338, 12.8399 Å; angles 90.07, 90.00, 129.23 degrees
Fractional positions:
Dy: 0.8239 0.4022 0.6134
Dy: 0.4212 0.5968 0.6137
Dy: 0.1756 0.5968 0.1137
Dy: 0.4217 0.5978 0.8866
Dy: 0.8244 0.4032 0.8863
Dy: 0.1761 0.5978 0.3866
Dy: 0.9022 0.0000 0.7500
Dy: 0.5788 0.4032 0.3863
Dy: 0.5783 0.4022 0.1134
Dy: 0.0978 0.0000 0.2500
Sc: 0.0000 0.0000 0.0000
Sc: 0.0000 0.0000 0.5000
Tb: 0.3061 0.0000 0.7500
Tb: 0.6939 0.0000 0.2500

Summary:
Excess energy over the best structure of this formula in the dataset = 0.000 eV per formula unit
Density of states at the Fermi level = 22.6 states/eV/cell
Total moment = 0.000 μB per cell

---

[2]
## KGe2Au2 (PBE-GGA)

Data for an optimized crystal structure of KGe2Au2.

Cell lengths 8.5188, 8.5188, 2.9665 Å; angles 90.00, 90.00, 90.00 degrees
Fractional positions:
Au: 0.8474 0.3474 0.5000
Au: 0.6526 0.8474 0.5000
Au: 0.3474 0.1526 0.5000
Au: 0.1526 0.6526 0.5000
Ge: 0.8629 0.6371 0.0000
Ge: 0.1371 0.3629 0.0000
Ge: 0.3629 0.8629 0.0000
Ge: 0.6371 0.1371 0.0000
K: 0.5000 0.5000 0.0000
K: 0.0000 0.0000 0.0000

Summary:
Excess energy over the best structure of this formula in the dataset = 0.724 eV per formula unit
Density of states at the Fermi level = 3.8 states/eV/cell
Total moment = 0.000 μB per cell

---

[3]
## LaNpRu4 (PBE-GGA)

Data for an optimized crystal structure of LaNpRu4.

Cell lengths 5.3687, 5.3687, 5.3687 Å; angles 60.00, 60.00, 60.00 degrees
Fractional positions:
Np: 0.0000 0.0000 0.0000
Ru: 0.6256 0.1233 0.6256
Ru: 0.6256 0.6256 0.1233
Ru: 0.6256 0.6256 0.6256
Ru: 0.1233 0.6256 0.6256
La: 0.2500 0.2500 0.2500

Summary:
VASP energy = -9.204 eV/atom
Density of states at the Fermi level = 10.6 states/eV/cell
Total moment = 2.687 μB per cell